Computed, not measured: crystalline TaCuHRu2 at its relaxed geometry at the PBE level of DFT.

Computed properties:
Fermi-level density of states in states/eV per cell: 4.342
Total energy in eV/cell: -38.02

```
data_TaCuHRu2
_chemical_formula_sum 'Ta1 Cu1 H1 Ru2'
_space_group_name_H-M_alt 'P 4/m m m'
_space_group_IT_number 123
_space_group_name_Hall '-P 4 2'
_cell_length_a 3.926
_cell_length_b 3.926
_cell_length_c 3.914
_cell_angle_alpha 90.00
_cell_angle_beta 90.00
_cell_angle_gamma 90.00
loop_
_atom_site_label
_atom_site_type_symbol
_atom_site_fract_x
_atom_site_fract_y
_atom_site_fract_z
_atom_site_occupancy
Ta1 Ta 0.000 0.000 0.000 1
Cu1 Cu 0.500 0.500 0.000 1
H1 H 0.000 0.000 0.500 1
Ru1 Ru 0.000 0.500 0.500 1
```

***

Computed, not measured: crystalline TaCuHRu2 at its relaxed geometry at the PBE level of DFT.

Computed properties:
Fermi-level density of states in states/eV per cell: 5.123
Total energy in eV/cell: -38.46

```
data_TaCuHRu2
_chemical_formula_sum 'Ta1 Cu1 H1 Ru2'
_space_group_name_H-M_alt 'P 4/m m m'
_space_group_IT_number 123
_space_group_name_Hall '-P 4 2'
_cell_length_a 4.048
_cell_length_b 4.048
_cell_length_c 3.636
_cell_angle_alpha 90.00
_cell_angle_beta 90.00
_cell_angle_gamma 90.00
loop_
_atom_site_label
_atom_site_type_symbol
_atom_site_fract_x
_atom_site_fract_y
_atom_site_fract_z
_atom_site_occupancy
Ta1 Ta 0.000 0.000 0.000 1
Cu1 Cu 0.500 0.500 0.000 1
H1 H 0.500 0.500 0.500 1
Ru1 Ru 0.000 0.500 0.500 1
```

***

Computed, not measured: crystalline Ta2CuHRu at its relaxed geometry at the PBE level of DFT.

Computed properties:
Fermi-level density of states in states/eV per cell: 3.185
Total energy in eV/cell: -40.67

```
data_Ta2CuHRu
_chemical_formula_sum 'Ta2 Cu1 H1 Ru1'
_space_group_name_H-M_alt 'P 4/m m m'
_space_group_IT_number 123
_space_group_name_Hall '-P 4 2'
_cell_length_a 4.067
_cell_length_b 4.067
_cell_length_c 3.908
_cell_angle_alpha 90.00
_cell_angle_beta 90.00
_cell_angle_gamma 90.00
loop_
_atom_site_label
_atom_site_type_symbol
_atom_site_fract_x
_atom_site_fract_y
_atom_site_fract_z
_atom_site_occupancy
Ta1 Ta 0.000 0.500 0.000 1
Cu1 Cu 0.000 0.000 0.500 1
H1 H 0.500 0.500 0.000 1
Ru1 Ru 0.500 0.500 0.500 1
```

***

Computed, not measured: crystalline ThCuH6Ru at its relaxed geometry at the PBE level of DFT.

Computed properties:
Fermi-level density of states in states/eV per cell: 1.651
Total energy in eV/cell: -43.42

```
data_ThCuH6Ru
_chemical_formula_sum 'Th1 Cu1 H6 Ru1'
_space_group_name_H-M_alt 'P -6 m 2'
_space_group_IT_number 187
_space_group_name_Hall 'P -6 2'
_cell_length_a 4.6055
_cell_length_b 4.6055
_cell_length_c 4.3223
_cell_angle_alpha 90.00
_cell_angle_beta 90.00
_cell_angle_gamma 120.00
loop_
_atom_site_label
_atom_site_type_symbol
_atom_site_fract_x
_atom_site_fract_y
_atom_site_fract_z
_atom_site_occupancy
Th1 Th 0.0000 0.0000 0.0000 1
Cu1 Cu 0.3333 0.6667 0.5000 1
H1 H 0.5044 0.0089 0.2325 1
Ru1 Ru 0.6667 0.3333 0.5000 1
```

***

Computed, not measured: crystalline ThCuH8Ru2 at its relaxed geometry at the PBE level of DFT.

Computed properties:
Fermi-level density of states in states/eV per cell: 3.478
Total energy in eV/cell: -55.72

```
data_ThCuH8Ru2
_chemical_formula_sum 'Th1 Cu1 H8 Ru2'
_space_group_name_H-M_alt 'P -3 m 1'
_space_group_IT_number 164
_space_group_name_Hall '-P 3 2"'
_cell_length_a 4.6999
_cell_length_b 4.6999
_cell_length_c 6.4148
_cell_angle_alpha 90.00
_cell_angle_beta 90.00
_cell_angle_gamma 120.00
loop_
_atom_site_label
_atom_site_type_symbol
_atom_site_fract_x
_atom_site_fract_y
_atom_site_fract_z
_atom_site_occupancy
Th1 Th 0.0000 0.0000 0.0000 1
Cu1 Cu 0.0000 0.0000 0.5000 1
H1 H 0.1365 0.2730 0.3019 1
H2 H 0.3333 0.6667 0.0754 1
Ru1 Ru 0.3333 0.6667 0.3342 1
```

***

Computed, not measured: crystalline Ti2CuHRu at its relaxed geometry at the PBE level of DFT.

Computed properties:
Fermi-level density of states in states/eV per cell: 5.226
Total energy in eV/cell: -33.91

```
data_Ti2CuHRu
_chemical_formula_sum 'Ti2 Cu1 H1 Ru1'
_space_group_name_H-M_alt 'P 4/m m m'
_space_group_IT_number 123
_space_group_name_Hall '-P 4 2'
_cell_length_a 4.073
_cell_length_b 4.073
_cell_length_c 3.674
_cell_angle_alpha 90.00
_cell_angle_beta 90.00
_cell_angle_gamma 90.00
loop_
_atom_site_label
_atom_site_type_symbol
_atom_site_fract_x
_atom_site_fract_y
_atom_site_fract_z
_atom_site_occupancy
Ti1 Ti 0.000 0.500 0.000 1
Cu1 Cu 0.000 0.000 0.500 1
H1 H 0.500 0.500 0.000 1
Ru1 Ru 0.500 0.500 0.500 1
```

***

Computed, not measured: crystalline Ti2CuHRu at its relaxed geometry at the PBE level of DFT.

Computed properties:
Fermi-level density of states in states/eV per cell: 3.363
Total energy in eV/cell: -34.05

```
data_Ti2CuHRu
_chemical_formula_sum 'Ti2 Cu1 H1 Ru1'
_space_group_name_H-M_alt 'P 4/m m m'
_space_group_IT_number 123
_space_group_name_Hall '-P 4 2'
_cell_length_a 4.230
_cell_length_b 4.230
_cell_length_c 3.367
_cell_angle_alpha 90.00
_cell_angle_beta 90.00
_cell_angle_gamma 90.00
loop_
_atom_site_label
_atom_site_type_symbol
_atom_site_fract_x
_atom_site_fract_y
_atom_site_fract_z
_atom_site_occupancy
Ti1 Ti 0.000 0.500 0.000 1
Cu1 Cu 0.000 0.000 0.500 1
H1 H 0.000 0.000 0.000 1
Ru1 Ru 0.500 0.500 0.500 1
```

***

Computed, not measured: crystalline Tl2CuHRu at its relaxed geometry at the PBE level of DFT.

Computed properties:
Fermi-level density of states in states/eV per cell: 4.689
Total energy in eV/cell: -18.93

```
data_Tl2CuHRu
_chemical_formula_sum 'Tl2 Cu1 H1 Ru1'
_space_group_name_H-M_alt 'P 4/m m m'
_space_group_IT_number 123
_space_group_name_Hall '-P 4 2'
_cell_length_a 4.839
_cell_length_b 4.839
_cell_length_c 3.459
_cell_angle_alpha 90.00
_cell_angle_beta 90.00
_cell_angle_gamma 90.00
loop_
_atom_site_label
_atom_site_type_symbol
_atom_site_fract_x
_atom_site_fract_y
_atom_site_fract_z
_atom_site_occupancy
Tl1 Tl 0.000 0.500 0.000 1
Cu1 Cu 0.000 0.000 0.500 1
H1 H 0.500 0.500 0.000 1
Ru1 Ru 0.500 0.500 0.500 1
```

***

Computed, not measured: crystalline VCuHRu2 at its relaxed geometry at the PBE level of DFT.

Computed properties:
Fermi-level density of states in states/eV per cell: 4.537
Total energy in eV/cell: -34.89

```
data_VCuHRu2
_chemical_formula_sum 'V1 Cu1 H1 Ru2'
_space_group_name_H-M_alt 'P 4/m m m'
_space_group_IT_number 123
_space_group_name_Hall '-P 4 2'
_cell_length_a 3.868
_cell_length_b 3.868
_cell_length_c 3.729
_cell_angle_alpha 90.00
_cell_angle_beta 90.00
_cell_angle_gamma 90.00
loop_
_atom_site_label
_atom_site_type_symbol
_atom_site_fract_x
_atom_site_fract_y
_atom_site_fract_z
_atom_site_occupancy
V1 V 0.000 0.000 0.000 1
Cu1 Cu 0.500 0.500 0.000 1
H1 H 0.000 0.000 0.500 1
Ru1 Ru 0.000 0.500 0.500 1
```

***

Computed, not measured: crystalline VCuHRu2 at its relaxed geometry at the PBE level of DFT.

Computed properties:
Fermi-level density of states in states/eV per cell: 4.255
Total energy in eV/cell: -34.95

```
data_VCuHRu2
_chemical_formula_sum 'V1 Cu1 H1 Ru2'
_space_group_name_H-M_alt 'P 4/m m m'
_space_group_IT_number 123
_space_group_name_Hall '-P 4 2'
_cell_length_a 3.953
_cell_length_b 3.953
_cell_length_c 3.553
_cell_angle_alpha 90.00
_cell_angle_beta 90.00
_cell_angle_gamma 90.00
loop_
_atom_site_label
_atom_site_type_symbol
_atom_site_fract_x
_atom_site_fract_y
_atom_site_fract_z
_atom_site_occupancy
V1 V 0.000 0.000 0.000 1
Cu1 Cu 0.500 0.500 0.000 1
H1 H 0.500 0.500 0.500 1
Ru1 Ru 0.000 0.500 0.500 1
```

***

Computed, not measured: crystalline Y2CuHRu at its relaxed geometry at the PBE level of DFT.

Computed properties:
Fermi-level density of states in states/eV per cell: 3.234
Total energy in eV/cell: -31.44

```
data_Y2CuHRu
_chemical_formula_sum 'Y2 Cu1 H1 Ru1'
_space_group_name_H-M_alt 'P 4/m m m'
_space_group_IT_number 123
_space_group_name_Hall '-P 4 2'
_cell_length_a 4.875
_cell_length_b 4.875
_cell_length_c 3.606
_cell_angle_alpha 90.00
_cell_angle_beta 90.00
_cell_angle_gamma 90.00
loop_
_atom_site_label
_atom_site_type_symbol
_atom_site_fract_x
_atom_site_fract_y
_atom_site_fract_z
_atom_site_occupancy
Y1 Y 0.000 0.500 0.000 1
Cu1 Cu 0.000 0.000 0.500 1
H1 H 0.500 0.500 0.000 1
Ru1 Ru 0.500 0.500 0.500 1
```

***

Computed, not measured: crystalline Y2CuHRu at its relaxed geometry at the PBE level of DFT.

Computed properties:
Fermi-level density of states in states/eV per cell: 2.468
Total energy in eV/cell: -31.30

```
data_Y2CuHRu
_chemical_formula_sum 'Y2 Cu1 H1 Ru1'
_space_group_name_H-M_alt 'P 4/m m m'
_space_group_IT_number 123
_space_group_name_Hall '-P 4 2'
_cell_length_a 4.845
_cell_length_b 4.845
_cell_length_c 3.554
_cell_angle_alpha 90.00
_cell_angle_beta 90.00
_cell_angle_gamma 90.00
loop_
_atom_site_label
_atom_site_type_symbol
_atom_site_fract_x
_atom_site_fract_y
_atom_site_fract_z
_atom_site_occupancy
Y1 Y 0.000 0.500 0.000 1
Cu1 Cu 0.000 0.000 0.500 1
H1 H 0.000 0.000 0.000 1
Ru1 Ru 0.500 0.500 0.500 1
```

***

Computed, not measured: crystalline Zn2CuHRu at its relaxed geometry at the PBE level of DFT.

Computed properties:
Fermi-level density of states in states/eV per cell: 0.995
Total energy in eV/cell: -19.14

```
data_Zn2CuHRu
_chemical_formula_sum 'Zn2 Cu1 H1 Ru1'
_space_group_name_H-M_alt 'P 4/m m m'
_space_group_IT_number 123
_space_group_name_Hall '-P 4 2'
_cell_length_a 4.034
_cell_length_b 4.034
_cell_length_c 3.527
_cell_angle_alpha 90.00
_cell_angle_beta 90.00
_cell_angle_gamma 90.00
loop_
_atom_site_label
_atom_site_type_symbol
_atom_site_fract_x
_atom_site_fract_y
_atom_site_fract_z
_atom_site_occupancy
Zn1 Zn 0.000 0.500 0.000 1
Cu1 Cu 0.000 0.000 0.500 1
H1 H 0.500 0.500 0.000 1
Ru1 Ru 0.500 0.500 0.500 1
```